The following is a GGA-PBE calculation of crystalline TlTe2RhN at its relaxed geometry, from Alexandria.

Values from the calculation:
E above lowest polymorph (meV per atom): 0.0
Raw formation energy (kJ per mole of atoms): 23
DFT total energy (eV/atom): -4.6249
Space-group type: No. 123
Total magnetization (μB/f.u.): 0.00

Cell lengths 5.7576, 5.7576, 3.6604 Å; angles 90.00, 90.00, 90.00 degrees
Sites, in units of the cell vectors:
Te 0.5000 0.0000 0.0000
N 0.0000 0.0000 0.5000
Te 0.0000 0.5000 0.0000
Tl 0.5000 0.5000 0.5000
Rh 0.0000 0.0000 0.0000

The following is a GGA-PBE calculation of crystalline CdSiRu2 at its relaxed geometry, from Alexandria.

Values from the calculation:
Raw formation energy (kJ per mole of atoms): 15
DFT total energy (eV/atom): -6.0704
Space-group type: No. 160
Total magnetization (μB/f.u.): 0.00

Cell lengths 8.9754, 8.9754, 8.9754 Å; angles 18.30, 18.30, 18.30 degrees
Sites, in units of the cell vectors:
Si 0.5107 0.5107 0.5107
Ru 0.2474 0.2474 0.2474
Ru 0.9923 0.9923 0.9923
Cd 0.7496 0.7496 0.7496

The following is a GGA-PBE calculation of crystalline Ce5As4Br at its relaxed geometry, from Alexandria.

Values from the calculation:
Raw formation energy (kJ per mole of atoms): -133
DFT total energy (eV/atom): -6.3753
Space-group type: No. 139
Total magnetization (μB/f.u.): 3.97

Cell lengths 4.2204, 4.2204, 15.2205 Å; angles 97.97, 97.97, 90.00 degrees
Last column: magnetic moment on the atom in μB.
Sites, in units of the cell vectors:
As 0.7995 0.7995 0.5990  -0.03
Ce 0.3001 0.3001 0.6001  0.64
Ce 0.8977 0.8977 0.7955  0.67
Ce 0.1023 0.1023 0.2045  0.67
As 0.4005 0.4005 0.8010  -0.03
Ce 0.5000 0.5000 0.0000  0.85
Br 0.0000 0.0000 0.0000  -0.01
As 0.5995 0.5995 0.1990  -0.03
As 0.2005 0.2005 0.4010  -0.03
Ce 0.6999 0.6999 0.3999  0.64

The following is a GGA-PBE calculation of crystalline CeGdDyGa at its relaxed geometry, from Alexandria.

Values from the calculation:
ΔH_f (0 K) (eV per formula unit): -0.2
DFT total energy (eV/atom): -6.9602
Space-group type: No. 216
Total magnetization (μB/f.u.): 8.00

Cell lengths 5.2469, 5.2469, 5.2469 Å; angles 60.00, 60.00, 60.00 degrees
Last column: magnetic moment on the atom in μB.
Sites, in units of the cell vectors:
Dy 0.0000 0.0000 0.0000  0.14
Ce 0.2500 0.2500 0.2500  0.18
Gd 0.5000 0.5000 0.5000  7.24
Ga 0.7500 0.7500 0.7500  -0.03

The following is a GGA-PBE calculation of crystalline CoBAs3 at its relaxed geometry, from Alexandria.

Values from the calculation:
ΔH_f (0 K) (eV per formula unit): 6.0
E above lowest polymorph (meV per atom): 199.2
DFT total energy (eV/atom): -4.3540
Space-group type: No. 221
Total magnetization (μB/f.u.): 0.00

Cell lengths 4.5245, 4.5245, 4.5245 Å; angles 90.00, 90.00, 90.00 degrees
Sites, in units of the cell vectors:
B 0.5000 0.5000 0.5000
Co 0.0000 0.0000 0.0000
As 0.5000 0.0000 0.0000
As 0.0000 0.0000 0.5000
As 0.0000 0.5000 0.0000

The following is a GGA-PBE calculation of crystalline RbHgW3 at its relaxed geometry, from Alexandria.

Values from the calculation:
ΔH_f (0 K) (eV per formula unit): 16.2
E above lowest polymorph (meV per atom): 0.0
DFT total energy (eV/atom): -4.7808
Space-group type: No. 221
Total magnetization (μB/f.u.): 0.00

Cell lengths 5.1353, 5.1353, 5.1353 Å; angles 90.00, 90.00, 90.00 degrees
Sites, in units of the cell vectors:
W 0.5000 0.0000 0.0000
W 0.0000 0.0000 0.5000
Hg 0.0000 0.0000 0.0000
W 0.0000 0.5000 0.0000
Rb 0.5000 0.5000 0.5000